This record from the Alexandria database describes a geometry-optimized Y5In4Pt structure. The functional is PBE-GGA.

Properties
As for the total DFT energy (no corrections): -0.205 hartree per atom. For the volume, the calculation gives 256.7 Å³/cell. For the formation energy, the calculation gives -0.650 eV/atom.

a = 3.5485 Å, b = 3.5485 Å, c = 20.3848 Å
α = 90.00°, β = 90.00°, γ = 90.00°
Sites, in units of the cell vectors:
Y 0.5000 0.5000 0.5000
In 0.0000 0.0000 0.3962
In 0.0000 0.0000 0.8107
In 0.0000 0.0000 0.1893
In 0.0000 0.0000 0.6038
Y 0.5000 0.5000 0.2921
Y 0.5000 0.5000 0.9171
Y 0.5000 0.5000 0.7079
Y 0.5000 0.5000 0.0829
Pt 0.0000 0.0000 0.0000


This record from the Alexandria database describes a geometry-optimized Y8InPt2 structure. The functional is PBE-GGA.

Properties
As for the total DFT energy (no corrections): -0.241 hartree per atom. For the volume, the calculation gives 315.1 Å³/cell. For the formation energy, the calculation gives -0.516 eV/atom.

a = 5.4545 Å, b = 8.0810 Å, c = 8.0810 Å
α = 113.88°, β = 97.93°, γ = 97.93°
Last column: magnetic moment on the atom in μB.
Sites, in units of the cell vectors:
Y 0.4236 0.6748 0.9263  0.07
Y 0.5762 0.0798 0.3313  0.07
Pt 0.5001 0.6967 0.3096  0.00
Pt 0.5001 0.3096 0.6967  0.00
Y 0.1958 0.3930 0.3930  0.07
Y 0.8042 0.6133 0.6133  0.06
Y 0.4236 0.9263 0.6748  0.07
Y 0.0000 0.7581 0.2479  0.02
In 0.9997 0.0032 0.0032  -0.01
Y 0.0000 0.2479 0.7581  0.02
Y 0.5762 0.3313 0.0798  0.07